No. 1
Material: MnAlP2Os
Method: DFT, PBE-GGA
State: optimized geometry

Cell: 4.487 4.487 5.104 Å, 90.00 90.00 90.00°
Space group P4/mmm (No. 123)
Inequivalent atoms, fractional coordinates:
Mn 0.000 0.000 0.000 (multiplicity 1)
Al 0.500 0.500 0.000 (multiplicity 1)
P 0.000 0.500 0.500 (multiplicity 2)
Os 0.000 0.000 0.500 (multiplicity 1)

Summary:
As for the energy relative to the elements: 0.66 eV/atom.

---

No. 2
Material: PaMnAlOs
Method: DFT, PBE-GGA
State: optimized geometry

Cell: 6.443 6.443 6.443 Å, 90.00 90.00 90.00°
Space group F-43m (No. 216)
Inequivalent atoms, fractional coordinates:
Pa 0.000 0.000 0.000 (multiplicity 4)
Mn 0.250 0.250 0.250 (multiplicity 4)
Al 0.000 0.000 0.500 (multiplicity 4)
Os 0.250 0.250 0.750 (multiplicity 4)

Summary:
As for the energy relative to the elements: -0.19 eV/atom.

---

No. 3
Material: MnAlOsPt
Method: DFT, PBE-GGA
State: optimized geometry

Cell: 6.092 6.092 6.092 Å, 90.00 90.00 90.00°
Space group F-43m (No. 216)
Inequivalent atoms, fractional coordinates:
Mn 0.000 0.000 0.000 (multiplicity 4)
Al 0.000 0.000 0.500 (multiplicity 4)
Os 0.250 0.250 0.750 (multiplicity 4)
Pt 0.250 0.250 0.250 (multiplicity 4)

Summary:
As for the energy relative to the elements: -0.40 eV/atom.

---

No. 4
Material: MnAlReOs
Method: DFT, PBE-GGA
State: optimized geometry

Cell: 6.025 6.025 6.025 Å, 90.00 90.00 90.00°
Space group F-43m (No. 216)
Inequivalent atoms, fractional coordinates:
Mn 0.000 0.000 0.000 (multiplicity 4)
Al 0.000 0.000 0.500 (multiplicity 4)
Re 0.250 0.250 0.250 (multiplicity 4)
Os 0.250 0.250 0.750 (multiplicity 4)

Summary:
As for the energy relative to the elements: -0.13 eV/atom.

---

No. 5
Material: TaMnAlOs
Method: DFT, PBE-GGA
State: optimized geometry

Cell: 6.127 6.127 6.127 Å, 90.00 90.00 90.00°
Space group F-43m (No. 216)
Inequivalent atoms, fractional coordinates:
Ta 0.000 0.000 0.000 (multiplicity 4)
Mn 0.250 0.250 0.250 (multiplicity 4)
Al 0.000 0.000 0.500 (multiplicity 4)
Os 0.250 0.250 0.750 (multiplicity 4)

Summary:
As for the energy relative to the elements: -0.41 eV/atom.

---

No. 6
Material: Ti5MnAl2Os2
Method: DFT, PBE-GGA
State: optimized geometry

Cell: 10.397 10.397 3.055 Å, 90.00 90.00 90.00°
Space group P4/mbm (No. 127)
Inequivalent atoms, fractional coordinates:
Ti 0.000 0.500 0.000 (multiplicity 2)
Ti 0.069 0.182 0.000 (multiplicity 8)
Mn 0.000 0.000 0.500 (multiplicity 2)
Al 0.172 0.672 0.500 (multiplicity 4)
Os 0.138 0.362 0.500 (multiplicity 4)

Summary:
As for the energy relative to the elements: -0.17 eV/atom.

---

No. 7
Material: UMnAlOs
Method: DFT, PBE-GGA
State: optimized geometry

Cell: 6.391 6.391 6.391 Å, 90.00 90.00 90.00°
Space group F-43m (No. 216)
Inequivalent atoms, fractional coordinates:
U 0.000 0.000 0.000 (multiplicity 4)
Mn 0.250 0.250 0.250 (multiplicity 4)
Al 0.000 0.000 0.500 (multiplicity 4)
Os 0.250 0.250 0.750 (multiplicity 4)

Summary:
As for the energy relative to the elements: -0.09 eV/atom.

---

No. 8
Material: ZrMnAl2Os
Method: DFT, PBE-GGA
State: optimized geometry

Cell: 4.611 4.611 4.776 Å, 90.00 90.00 90.00°
Space group P4/mmm (No. 123)
Inequivalent atoms, fractional coordinates:
Zr 0.000 0.000 0.000 (multiplicity 1)
Mn 0.500 0.500 0.000 (multiplicity 1)
Al 0.000 0.500 0.500 (multiplicity 2)
Os 0.500 0.500 0.500 (multiplicity 1)

Summary:
As for the energy relative to the elements: 0.42 eV/atom.

---

No. 9
Material: MnAl2P
Method: DFT, PBE-GGA
State: optimized geometry

Cell: 5.077 7.482 2.891 Å, 90.00 90.00 90.00°
Space group Cmmm (No. 65)
Inequivalent atoms, fractional coordinates:
Mn 0.000 0.000 0.000 (multiplicity 2)
Al 0.250 0.250 0.500 (multiplicity 4)
P 0.000 0.500 0.000 (multiplicity 2)

Summary:
As for the energy relative to the elements: -0.04 eV/atom.

---

No. 10
Material: MnAl2P
Method: DFT, PBE-GGA
State: optimized geometry

Cell: 2.891 2.891 6.581 Å, 90.00 90.00 90.00°
Space group P4mm (No. 99)
Inequivalent atoms, fractional coordinates:
Mn 0.000 0.000 0.000 (multiplicity 1)
Al 0.000 0.000 0.430 (multiplicity 1)
Al 0.500 0.500 0.743 (multiplicity 1)
P 0.500 0.500 0.155 (multiplicity 1)

Summary:
As for the energy relative to the elements: -0.20 eV/atom.

---

No. 11
Material: MnAl2P
Method: DFT, PBE-GGA
State: optimized geometry

Cell: 9.389 2.785 4.450 Å, 90.00 105.18 90.00°
Space group Cm (No. 8)
Inequivalent atoms, fractional coordinates:
Mn 0.000 0.000 0.000 (multiplicity 2)
Al 0.036 0.500 0.501 (multiplicity 2)
Al 0.245 0.500 0.161 (multiplicity 2)
P 0.324 0.000 0.731 (multiplicity 2)

Summary:
As for the energy relative to the elements: -0.14 eV/atom.

---

No. 12
Material: MnAl2P
Method: DFT, PBE-GGA
State: optimized geometry

Cell: 3.736 3.736 8.190 Å, 90.00 90.00 90.00°
Space group I-4m2 (No. 119)
Inequivalent atoms, fractional coordinates:
Mn 0.000 0.000 0.000 (multiplicity 2)
Al 0.000 0.000 0.500 (multiplicity 2)
Al 0.000 0.500 0.250 (multiplicity 2)
P 0.000 0.500 0.750 (multiplicity 2)

Summary:
As for the energy relative to the elements: 0.00 eV/atom.

---

No. 13
Material: MnAl2P
Method: DFT, PBE-GGA
State: optimized geometry

Cell: 8.670 3.708 3.680 Å, 90.00 114.27 90.00°
Space group C2/m (No. 12)
Inequivalent atoms, fractional coordinates:
Mn 0.000 0.000 0.000 (multiplicity 2)
Al 0.250 0.000 0.750 (multiplicity 4)
P 0.000 0.500 0.500 (multiplicity 2)

Summary:
As for the energy relative to the elements: -0.05 eV/atom.

---

No. 14
Material: Mn3AlP
Method: DFT, PBE-GGA
State: optimized geometry

Cell: 4.119 4.119 4.119 Å, 90.00 90.00 90.00°
Space group Pm-3m (No. 221)
Inequivalent atoms, fractional coordinates:
Mn 0.000 0.000 0.500 (multiplicity 3)
Al 0.500 0.500 0.500 (multiplicity 1)
P 0.000 0.000 0.000 (multiplicity 1)

Summary:
As for the energy relative to the elements: 0.18 eV/atom. Its energy above the lowest structure with this stoichiometry is 0.0 kJ/mol of atoms.

---

No. 15
Material: MnAl2P
Method: DFT, PBE-GGA
State: optimized geometry

Cell: 3.730 3.221 9.164 Å, 90.00 90.00 90.00°
Space group Amm2 (No. 38)
Inequivalent atoms, fractional coordinates:
Mn 0.000 0.000 0.000 (multiplicity 2)
Al 0.000 0.000 0.722 (multiplicity 2)
Al 0.500 0.000 0.402 (multiplicity 2)
P 0.500 0.000 0.133 (multiplicity 2)

Summary:
As for the energy relative to the elements: -0.26 eV/atom.

---

No. 16
Material: MnAlP3
Method: DFT, PBE-GGA
State: optimized geometry

Cell: 4.555 4.555 4.555 Å, 90.00 90.00 90.00°
Space group Pm-3m (No. 221)
Inequivalent atoms, fractional coordinates:
Mn 0.000 0.000 0.000 (multiplicity 1)
Al 0.500 0.500 0.500 (multiplicity 1)
P 0.000 0.500 0.500 (multiplicity 3)

Summary:
As for the energy relative to the elements: 1.28 eV/atom. Its energy above the lowest structure with this stoichiometry is 76.3 kJ/mol of atoms.

---

No. 17
Material: MnAl2P
Method: DFT, PBE-GGA
State: optimized geometry

Cell: 6.963 6.963 5.021 Å, 90.00 90.00 90.00°
Space group I-42d (No. 122)
Inequivalent atoms, fractional coordinates:
Mn 0.000 0.000 0.000 (multiplicity 4)
Al 0.223 0.250 0.625 (multiplicity 8)
P 0.000 0.000 0.500 (multiplicity 4)

Summary:
As for the energy relative to the elements: 0.35 eV/atom.

---

No. 18
Material: MnAlP3
Method: DFT, PBE-GGA
State: optimized geometry

Cell: 4.406 4.406 4.406 Å, 90.00 90.00 90.00°
Space group Pm-3m (No. 221)
Inequivalent atoms, fractional coordinates:
Mn 0.000 0.000 0.000 (multiplicity 1)
Al 0.500 0.500 0.500 (multiplicity 1)
P 0.000 0.000 0.500 (multiplicity 3)

Summary:
As for the energy relative to the elements: 0.49 eV/atom. Its energy above the lowest structure with this stoichiometry is 0.0 kJ/mol of atoms.

---

No. 19
Material: MnAl2P
Method: DFT, PBE-GGA
State: optimized geometry

Cell: 2.8659 2.8659 23.7445 Å, 90.00 90.00 120.00°
Space group R-3m (No. 166, hexagonal axes)
Inequivalent atoms, fractional coordinates:
Mn 0.0000 0.0000 0.0000 (multiplicity 3)
Al 0.0000 0.0000 0.2521 (multiplicity 6)
P 0.0000 0.0000 0.5000 (multiplicity 3)

Summary:
As for the energy relative to the elements: 0.00 eV/atom.

---

No. 20
Material: MnAl2P
Method: DFT, PBE-GGA
State: optimized geometry

Cell: 3.200 3.200 5.062 Å, 90.00 90.00 90.00°
Space group P4/mmm (No. 123)
Inequivalent atoms, fractional coordinates:
Mn 0.000 0.000 0.000 (multiplicity 1)
Al 0.500 0.500 0.245 (multiplicity 2)
P 0.000 0.000 0.500 (multiplicity 1)

Summary:
As for the energy relative to the elements: -0.16 eV/atom.

---

No. 21
Material: MnAl4P
Method: DFT, PBE-GGA
State: optimized geometry

Cell: 7.303 7.303 7.303 Å, 90.00 90.00 90.00°
Space group F-43m (No. 216)
Inequivalent atoms, fractional coordinates:
Mn 0.000 0.000 0.000 (multiplicity 4)
Al 0.126 0.126 0.374 (multiplicity 16)
P 0.250 0.250 0.750 (multiplicity 4)

Summary:
As for the energy relative to the elements: 0.31 eV/atom.

---

No. 22
Material: MnAl2P
Method: DFT, PBE-GGA
State: optimized geometry

Cell: 5.986 5.986 5.986 Å, 90.00 90.00 90.00°
Space group F-43m (No. 216)
Inequivalent atoms, fractional coordinates:
Mn 0.000 0.000 0.000 (multiplicity 4)
Al 0.000 0.000 0.500 (multiplicity 4)
Al 0.250 0.250 0.750 (multiplicity 4)
P 0.250 0.250 0.250 (multiplicity 4)

Summary:
As for the energy relative to the elements: 0.20 eV/atom.

---

No. 23
Material: MnAl2P
Method: DFT, PBE-GGA
State: optimized geometry

Cell: 3.300 3.300 5.099 Å, 90.00 90.00 90.00°
Space group P4mm (No. 99)
Inequivalent atoms, fractional coordinates:
Mn 0.000 0.000 0.000 (multiplicity 1)
Al 0.000 0.000 0.488 (multiplicity 1)
Al 0.500 0.500 0.768 (multiplicity 1)
P 0.500 0.500 0.245 (multiplicity 1)

Summary:
As for the energy relative to the elements: -0.07 eV/atom.

---

No. 24
Material: MnAl2P
Method: DFT, PBE-GGA
State: optimized geometry

Cell: 2.9488 2.9488 22.9223 Å, 90.00 90.00 120.00°
Space group R3m (No. 160, hexagonal axes)
Inequivalent atoms, fractional coordinates:
Mn 0.0000 0.0000 0.0000 (multiplicity 3)
Al 0.0000 0.0000 0.2488 (multiplicity 3)
Al 0.0000 0.0000 0.4852 (multiplicity 3)
P 0.0000 0.0000 0.7310 (multiplicity 3)

Summary:
As for the energy relative to the elements: -0.12 eV/atom.

---

No. 25
Material: Mn2AlSiP
Method: DFT, PBE-GGA
State: optimized geometry

Cell: 4.420 4.420 4.284 Å, 90.00 90.00 90.00°
Space group P4/mmm (No. 123)
Inequivalent atoms, fractional coordinates:
Mn 0.000 0.500 0.000 (multiplicity 2)
Al 0.000 0.000 0.000 (multiplicity 1)
Si 0.500 0.500 0.500 (multiplicity 1)
P 0.000 0.000 0.500 (multiplicity 1)

Summary:
The value obtained for the uncorrected formation energy is 1.4888 eV/atom.

---

No. 26
Material: SrMnAlP
Method: DFT, PBE-GGA
State: optimized geometry

Cell: 3.792 3.792 11.740 Å, 90.00 90.00 90.00°
Space group P4/nmm (No. 129, origin choice 2)
Inequivalent atoms, fractional coordinates:
Sr 0.250 0.250 0.245 (multiplicity 2)
Mn 0.250 0.750 0.000 (multiplicity 2)
Al 0.250 0.750 0.500 (multiplicity 2)
P 0.250 0.250 0.888 (multiplicity 2)

Summary:
As for the energy relative to the elements: -0.48 eV/atom.

---

No. 27
Material: MnAlVP2
Method: DFT, PBE-GGA
State: optimized geometry

Cell: 4.482 4.482 4.151 Å, 90.00 90.00 90.00°
Space group P4/mmm (No. 123)
Inequivalent atoms, fractional coordinates:
Mn 0.000 0.000 0.000 (multiplicity 1)
Al 0.000 0.000 0.500 (multiplicity 1)
V 0.500 0.500 0.000 (multiplicity 1)
P 0.000 0.500 0.500 (multiplicity 2)

Summary:
As for the energy relative to the elements: 1.30 eV/atom.

---

No. 28
Material: Mn2AlPW
Method: DFT, PBE-GGA
State: optimized geometry

Cell: 4.603 4.603 4.922 Å, 90.00 90.00 90.00°
Space group P4/mmm (No. 123)
Inequivalent atoms, fractional coordinates:
Mn 0.000 0.500 0.000 (multiplicity 2)
Al 0.000 0.000 0.500 (multiplicity 1)
P 0.500 0.500 0.500 (multiplicity 1)
W 0.000 0.000 0.000 (multiplicity 1)

Summary:
As for the energy relative to the elements: 1.40 eV/atom. Its energy above the lowest structure with this stoichiometry is 0.0 kJ/mol of atoms.

---

No. 29
Material: Mn2AlPW
Method: DFT, PBE-GGA
State: optimized geometry

Cell: 4.195 4.195 4.321 Å, 90.00 90.00 90.00°
Space group P4/mmm (No. 123)
Inequivalent atoms, fractional coordinates:
Mn 0.000 0.500 0.000 (multiplicity 2)
Al 0.000 0.000 0.000 (multiplicity 1)
P 0.000 0.000 0.500 (multiplicity 1)
W 0.500 0.500 0.500 (multiplicity 1)

Summary:
As for the energy relative to the elements: 1.74 eV/atom. Its energy above the lowest structure with this stoichiometry is 32.7 kJ/mol of atoms.